The following is a DFT calculation (PBE-GGA) of a relaxed structure of CaCd3O.

Cell and atoms, written as CIF:
```
data_CaCd3O
_chemical_formula_sum 'Ca1 Cd3 O1'
_space_group_name_H-M_alt 'P 1'
_space_group_IT_number 1
_cell_length_a 4.866
_cell_length_b 4.866
_cell_length_c 4.866
_cell_angle_alpha 90.00
_cell_angle_beta 90.00
_cell_angle_gamma 90.00
loop_
_space_group_symop_operation_xyz
'x,y,z'
loop_
_atom_site_label
_atom_site_fract_x
_atom_site_fract_y
_atom_site_fract_z
_atom_site_occupancy
Ca1 0.500 0.500 0.500 1
O1 0.000 0.000 0.000 1
Cd1 0.000 0.500 0.000 1
Cd2 0.000 0.000 0.500 1
Cd3 0.500 0.000 0.000 1
```

## Properties
Total magnetization = 0.000 Bohr magnetons per cell
Space group = Pm-3m, No. 221
Energy above the most stable polymorph in this dataset = 0 meV/atom
Uncorrected formation energy = -0.1916 eV per atom
E_tot = -10.66 eV/cell

The following is a DFT calculation (PBE-GGA) of a relaxed structure of MoPb2W.

Cell and atoms, written as CIF:
```
data_MoPb2W
_chemical_formula_sum 'Mo1 Pb2 W1'
_space_group_name_H-M_alt 'P 1'
_space_group_IT_number 1
_cell_length_a 3.110
_cell_length_b 3.110
_cell_length_c 9.256
_cell_angle_alpha 90.00
_cell_angle_beta 90.00
_cell_angle_gamma 113.36
loop_
_space_group_symop_operation_xyz
'x,y,z'
loop_
_atom_site_label
_atom_site_fract_x
_atom_site_fract_y
_atom_site_fract_z
_atom_site_occupancy
Mo1 0.500 0.500 0.750 1
Pb1 0.000 0.000 0.997 1
Pb2 0.000 0.000 0.503 1
W1 0.500 0.500 0.250 1
```

## Properties
Total magnetization = 0.003 Bohr magnetons per cell
Calculated formation energy = 1.118 eV/atom
Space group = Cmmm, No. 65
Energy above the most stable polymorph in this dataset = 708 meV/atom
E_tot = -26.73 eV/cell

The following is a DFT calculation (PBE-GGA) of a relaxed structure of AgHgSe2.

Cell and atoms, written as CIF:
```
data_AgHgSe2
_chemical_formula_sum 'Ag2 Hg2 Se4'
_space_group_name_H-M_alt 'P 1'
_space_group_IT_number 1
_cell_length_a 4.331
_cell_length_b 6.044
_cell_length_c 8.709
_cell_angle_alpha 90.00
_cell_angle_beta 89.98
_cell_angle_gamma 89.99
loop_
_space_group_symop_operation_xyz
'x,y,z'
loop_
_atom_site_label
_atom_site_fract_x
_atom_site_fract_y
_atom_site_fract_z
_atom_site_occupancy
Ag1 0.201 0.849 0.731 1
Ag2 0.701 0.349 0.485 1
Hg1 0.201 0.869 0.240 1
Hg2 0.701 0.369 0.976 1
Se1 0.701 0.599 0.240 1
Se2 0.701 0.615 0.722 1
Se3 0.201 0.115 0.494 1
Se4 0.201 0.100 0.976 1
```

## Properties
Total magnetization = 0.000 Bohr magnetons per cell
Space group = Pmn2_1, No. 31
Uncorrected formation energy = -0.0526 eV per atom
E_tot = -20.66 eV/cell

Which formula does entry 1 have?
CaCd3O

The highest E_tot belongs to which entry?
CaCd3O

Which of these has the highest E_tot?
CaCd3O